(1)
## VGePb2 (PBE)

Data for a relaxed VGePb2 crystal.

- space-group type = No. 122
- formation enthalpy at 0 K (eV/atom) = 0.609
- DOS(E_F) (states/eV/cell) = 8.05
- VASP energy (eV for the cell shown) = -37.43

a b c (Å): 8.036 8.036 6.474
angles (deg): 51.63 51.63 90.00
Fractional positions:
Ge 0.000 0.000 0.000
Ge 0.750 0.250 0.500
Pb 0.875 0.880 0.750
Pb 0.375 0.370 0.750
Pb 0.120 0.625 0.250
Pb 0.630 0.125 0.250
V 0.250 0.750 0.500
V 0.500 0.500 0.000

***

(2)
## BeNiS3 (PBE)

Data for a relaxed BeNiS3 crystal.

- distance to the lowest polymorph of the same formula (eV per formula unit) = 0.00
- space-group type = No. 221
- DOS(E_F) (states/eV/cell) = 5.82
- VASP energy (eV for the cell shown) = -18.74

a b c (Å): 4.233 4.233 4.233
angles (deg): 90.00 90.00 90.00
Fractional positions:
Ni 0.500 0.500 0.500
Be 0.000 0.000 0.000
S 0.000 0.500 0.000
S 0.000 0.000 0.500
S 0.500 0.000 0.000

***

(3)
## SmZn4Os (PBE)

Data for a relaxed SmZn4Os crystal.

- space-group type = No. 216
- formation enthalpy at 0 K (eV/atom) = -0.138
- DOS(E_F) (states/eV/cell) = 2.22
- VASP energy (eV for the cell shown) = -21.87

a b c (Å): 5.158 5.158 5.158
angles (deg): 60.00 60.00 60.00
Fractional positions:
Zn 0.627 0.627 0.627
Zn 0.120 0.627 0.627
Zn 0.627 0.627 0.120
Zn 0.627 0.120 0.627
Os 0.000 0.000 0.000
Sm 0.250 0.250 0.250

***

(4)
## InGaAs2 (PBE)

Data for a relaxed InGaAs2 crystal.

- distance to the lowest polymorph of the same formula (eV per formula unit) = 0.10
- space-group type = No. 160
- formation enthalpy at 0 K (eV/atom) = -0.266
- DOS(E_F) (states/eV/cell) = 0.21
- VASP energy (eV for the cell shown) = -16.13

a b c (Å): 7.323 7.323 7.323
angles (deg): 33.51 33.51 33.51
Fractional positions:
Ga 0.875 0.875 0.875
In 0.375 0.375 0.375
As 0.505 0.505 0.505
As 0.995 0.995 0.995

***

(5)
## TiBiI2 (PBE)

Data for a relaxed TiBiI2 crystal.

- distance to the lowest polymorph of the same formula (eV per formula unit) = 2.32
- space-group type = No. 225
- DOS(E_F) (states/eV/cell) = 4.47
- VASP energy (eV for the cell shown) = -13.42

a b c (Å): 5.356 5.356 5.356
angles (deg): 60.00 60.00 60.00
Fractional positions:
Ti 0.000 0.000 0.000
I 0.250 0.250 0.250
I 0.750 0.750 0.750
Bi 0.500 0.500 0.500

***

(6)
## PrNdCO (PBE)

Data for a relaxed PrNdCO crystal.

- space-group type = No. 160
- DOS(E_F) (states/eV/cell) = 1.19
- VASP energy (eV for the cell shown) = -29.45

a b c (Å): 3.721 3.721 6.401
angles (deg): 73.10 73.10 60.00
Fractional positions:
Pr 0.442 0.442 0.673
Nd 0.945 0.945 0.165
O 0.195 0.195 0.414
C 0.693 0.693 0.920

***

Please write out number 6 again, unchanged.
## PrNdCO (PBE)

Data for a relaxed PrNdCO crystal.

- space-group type = No. 160
- DOS(E_F) (states/eV/cell) = 1.19
- VASP energy (eV for the cell shown) = -29.45

a b c (Å): 3.721 3.721 6.401
angles (deg): 73.10 73.10 60.00
Fractional positions:
Pr 0.442 0.442 0.673
Nd 0.945 0.945 0.165
O 0.195 0.195 0.414
C 0.693 0.693 0.920

***

Q: Look up the DOS(E_F) of the third one.
A: 2.22 states/eV/cell

***

Q: Look up the VASP energy of the first one.
A: -37.43 eV for the cell shown

***

Q: Which formula does entry 1 have?
A: VGePb2